Material: NpMnTcO6
Method: DFT, GGA+U
State: optimized geometry

Electronic total energy (Ry per atom): -0.64398

```
data_NpMnTcO6
_cell_length_a 5.250
_cell_length_b 5.250
_cell_length_c 9.378
_cell_angle_alpha 90.00
_cell_angle_beta 90.00
_cell_angle_gamma 120.00
_space_group_name_H-M_alt 'P 1'
_space_group_IT_number 1
_space_group_name_Hall 'P 1'
loop_
_atom_site_label
_atom_site_fract_x
_atom_site_fract_y
_atom_site_fract_z
O1 0.345 0.323 0.370
O2 0.977 0.323 0.130
Np1 0.000 0.000 0.500
Tc1 0.333 0.667 0.750
O3 0.023 0.345 0.630
O4 0.677 0.655 0.130
O5 0.655 0.677 0.630
O6 0.677 0.023 0.370
Mn1 0.667 0.333 0.750
O7 0.345 0.023 0.130
Np2 0.000 0.000 0.000
O8 0.023 0.677 0.870
O9 0.977 0.655 0.370
Mn2 0.333 0.667 0.250
O10 0.655 0.977 0.870
O11 0.323 0.977 0.630
Tc2 0.667 0.333 0.250
O12 0.323 0.345 0.870
```

Material: NpMn2TcO8
Method: DFT, GGA+U
State: optimized geometry

Electronic total energy (Ry per atom): -0.62073

```
data_NpMn2TcO8
_cell_length_a 4.808
_cell_length_b 4.806
_cell_length_c 6.413
_cell_angle_alpha 90.00
_cell_angle_beta 90.00
_cell_angle_gamma 91.77
_space_group_name_H-M_alt 'P 1'
_space_group_IT_number 1
_space_group_name_Hall 'P 1'
loop_
_atom_site_label
_atom_site_fract_x
_atom_site_fract_y
_atom_site_fract_z
Mn1 0.500 0.500 0.242
O1 0.193 0.807 0.763
Tc1 0.000 0.000 0.000
O2 0.724 0.724 0.000
O3 0.704 0.705 0.500
Np1 0.000 0.000 0.500
Mn2 0.500 0.500 0.758
O4 0.807 0.193 0.763
O5 0.276 0.276 0.000
O6 0.807 0.193 0.237
O7 0.193 0.807 0.237
O8 0.296 0.295 0.500
```

Material: NpMnTeO6
Method: DFT, GGA+U
State: optimized geometry

Electronic total energy (Ry per atom): -0.57052

```
data_NpMnTeO6
_cell_length_a 5.636
_cell_length_b 5.636
_cell_length_c 9.184
_cell_angle_alpha 90.00
_cell_angle_beta 90.00
_cell_angle_gamma 120.00
_space_group_name_H-M_alt 'P 1'
_space_group_IT_number 1
_space_group_name_Hall 'P 1'
loop_
_atom_site_label
_atom_site_fract_x
_atom_site_fract_y
_atom_site_fract_z
Te1 0.333 0.667 0.250
Np1 0.667 0.333 0.250
O1 0.660 0.648 0.133
Mn1 0.000 0.000 0.500
O2 0.340 0.988 0.633
Np2 0.333 0.667 0.750
O3 0.352 0.340 0.367
O4 0.352 0.012 0.133
O5 0.660 0.012 0.367
O6 0.988 0.648 0.367
O7 0.012 0.352 0.633
O8 0.988 0.340 0.133
Mn2 0.000 0.000 0.000
Te2 0.667 0.333 0.750
O9 0.648 0.660 0.633
O10 0.340 0.352 0.867
O11 0.648 0.988 0.867
O12 0.012 0.660 0.867
```

Material: NpTiMnO6
Method: DFT, GGA+U
State: optimized geometry

Electronic total energy (Ry per atom): -0.66408

```
data_NpTiMnO6
_cell_length_a 5.361
_cell_length_b 5.361
_cell_length_c 9.191
_cell_angle_alpha 90.00
_cell_angle_beta 90.00
_cell_angle_gamma 120.00
_space_group_name_H-M_alt 'P 1'
_space_group_IT_number 1
_space_group_name_Hall 'P 1'
loop_
_atom_site_label
_atom_site_fract_x
_atom_site_fract_y
_atom_site_fract_z
O1 0.012 0.359 0.136
O2 0.012 0.653 0.364
O3 0.641 0.988 0.364
O4 0.653 0.641 0.636
Mn1 0.000 0.000 0.500
O5 0.653 0.012 0.864
Ti1 0.333 0.667 0.250
O6 0.347 0.359 0.364
O7 0.988 0.347 0.636
Np1 0.667 0.333 0.250
O8 0.641 0.653 0.136
Mn2 0.000 0.000 0.000
Ti2 0.667 0.333 0.750
O9 0.988 0.641 0.864
O10 0.359 0.347 0.864
O11 0.347 0.988 0.136
O12 0.359 0.012 0.636
Np2 0.333 0.667 0.750
```

Material: NpTiMn2O8
Method: DFT, GGA+U
State: optimized geometry

Electronic total energy (Ry per atom): -0.61474

```
data_NpTiMn2O8
_cell_length_a 5.782
_cell_length_b 5.782
_cell_length_c 5.782
_cell_angle_alpha 112.38
_cell_angle_beta 112.38
_cell_angle_gamma 103.79
_space_group_name_H-M_alt 'P 1'
_space_group_IT_number 1
_space_group_name_Hall 'P 1'
loop_
_atom_site_label
_atom_site_fract_x
_atom_site_fract_y
_atom_site_fract_z
Ti1 0.000 0.000 0.000
O1 0.284 0.087 0.803
Mn1 0.750 0.250 0.500
O2 0.942 0.646 0.703
O3 0.519 0.716 0.803
Np1 0.250 0.750 0.500
Mn2 0.500 0.500 0.000
O4 0.913 0.716 0.197
O5 0.284 0.481 0.197
O6 0.354 0.058 0.297
O7 0.942 0.239 0.297
O8 0.761 0.058 0.703
```

Material: NpMnTlO6
Method: DFT, GGA+U
State: optimized geometry

Electronic total energy (Ry per atom): -0.56061

```
data_NpMnTlO6
_cell_length_a 4.996
_cell_length_b 4.996
_cell_length_c 10.016
_cell_angle_alpha 90.00
_cell_angle_beta 90.00
_cell_angle_gamma 90.00
_space_group_name_H-M_alt 'P 1'
_space_group_IT_number 1
_space_group_name_Hall 'P 1'
loop_
_atom_site_label
_atom_site_fract_x
_atom_site_fract_y
_atom_site_fract_z
O1 0.800 0.200 0.183
O2 0.788 0.212 0.826
O3 0.316 0.316 0.991
O4 0.816 0.184 0.491
Tl1 0.500 0.500 0.499
Np1 0.000 0.000 0.332
O5 0.212 0.788 0.826
Np2 0.500 0.500 0.832
Mn1 0.000 0.000 0.668
O6 0.700 0.700 0.683
O7 0.684 0.684 0.991
O8 0.300 0.300 0.683
Tl2 0.000 0.000 0.999
O9 0.288 0.288 0.326
O10 0.200 0.800 0.183
Mn2 0.500 0.500 0.168
O11 0.712 0.712 0.326
O12 0.184 0.816 0.491
```

Material: NpMnTl2O6
Method: DFT, GGA+U
State: optimized geometry

Electronic total energy (Ry per atom): -0.52946

```
data_NpMnTl2O6
_cell_length_a 5.699
_cell_length_b 5.702
_cell_length_c 6.309
_cell_angle_alpha 116.87
_cell_angle_beta 116.87
_cell_angle_gamma 90.00
_space_group_name_H-M_alt 'P 1'
_space_group_IT_number 1
_space_group_name_Hall 'P 1'
loop_
_atom_site_label
_atom_site_fract_x
_atom_site_fract_y
_atom_site_fract_z
Tl1 0.249 0.250 0.499
Tl2 0.751 0.750 0.501
O1 0.260 0.239 0.000
Mn1 0.500 0.000 0.000
O2 0.801 0.302 0.604
O3 0.260 0.760 0.000
O4 0.740 0.761 0.000
O5 0.199 0.698 0.396
O6 0.740 0.240 0.000
Np1 0.000 0.500 0.000
```

Material: NpMn2Tl2O6
Method: DFT, GGA+U
State: optimized geometry

Electronic total energy (Ry per atom): -0.52303

```
data_NpMn2Tl2O6
_cell_length_a 5.367
_cell_length_b 5.367
_cell_length_c 8.128
_cell_angle_alpha 103.54
_cell_angle_beta 103.54
_cell_angle_gamma 119.47
_space_group_name_H-M_alt 'P 1'
_space_group_IT_number 1
_space_group_name_Hall 'P 1'
loop_
_atom_site_label
_atom_site_fract_x
_atom_site_fract_y
_atom_site_fract_z
Mn1 0.335 0.665 0.500
O1 0.094 0.448 0.642
Mn2 0.665 0.335 0.500
O2 0.448 0.094 0.642
Tl1 0.171 0.829 0.000
O3 0.752 0.752 0.646
O4 0.906 0.552 0.358
Tl2 0.829 0.171 0.000
Np1 0.000 0.000 0.500
O5 0.552 0.906 0.358
O6 0.248 0.248 0.354
```

Material: NpMnTlO4
Method: DFT, GGA+U
State: optimized geometry

Electronic total energy (Ry per atom): -0.59428

```
data_NpMnTlO4
_cell_length_a 7.120
_cell_length_b 6.898
_cell_length_c 7.077
_cell_angle_alpha 120.86
_cell_angle_beta 90.00
_cell_angle_gamma 121.07
_space_group_name_H-M_alt 'P 1'
_space_group_IT_number 1
_space_group_name_Hall 'P 1'
loop_
_atom_site_label
_atom_site_fract_x
_atom_site_fract_y
_atom_site_fract_z
O1 0.319 0.016 0.258
Tl1 0.128 0.255 0.878
O2 0.303 0.984 0.742
O3 0.284 0.568 0.334
O4 0.716 0.432 0.266
Np1 0.500 0.000 0.000
O5 0.681 0.984 0.742
O6 0.697 0.016 0.258
O7 0.716 0.432 0.666
Tl2 0.872 0.745 0.122
Mn1 0.500 0.500 0.500
Mn2 0.000 0.500 0.500
O8 0.284 0.568 0.734
Np2 0.500 0.000 0.500
```

Material: NpMn2Tl3O6
Method: DFT, GGA+U
State: optimized geometry

Electronic total energy (Ry per atom): -0.51496

```
data_NpMn2Tl3O6
_cell_length_a 5.712
_cell_length_b 5.712
_cell_length_c 7.234
_cell_angle_alpha 97.63
_cell_angle_beta 97.63
_cell_angle_gamma 120.00
_space_group_name_H-M_alt 'P 1'
_space_group_IT_number 1
_space_group_name_Hall 'P 1'
loop_
_atom_site_label
_atom_site_fract_x
_atom_site_fract_y
_atom_site_fract_z
Mn1 0.667 0.333 0.000
O1 0.633 0.947 0.844
Tl1 0.167 0.833 0.500
Mn2 0.333 0.667 0.000
O2 0.947 0.633 0.844
O3 0.262 0.262 0.843
O4 0.738 0.738 0.157
Np1 0.000 0.000 0.000
O5 0.367 0.053 0.156
Tl2 0.500 0.500 0.500
Tl3 0.833 0.167 0.500
O6 0.053 0.367 0.156
```

Material: NpMnTl2O8
Method: DFT, GGA+U
State: optimized geometry

Electronic total energy (Ry per atom): -0.50331

```
data_NpMnTl2O8
_cell_length_a 5.156
_cell_length_b 5.151
_cell_length_c 6.460
_cell_angle_alpha 90.00
_cell_angle_beta 90.00
_cell_angle_gamma 93.27
_space_group_name_H-M_alt 'P 1'
_space_group_IT_number 1
_space_group_name_Hall 'P 1'
loop_
_atom_site_label
_atom_site_fract_x
_atom_site_fract_y
_atom_site_fract_z
O1 0.284 0.283 0.500
O2 0.166 0.833 0.750
O3 0.716 0.717 0.500
Tl1 0.500 0.500 0.738
O4 0.834 0.167 0.250
Mn1 0.000 0.000 0.500
O5 0.166 0.834 0.250
Np1 0.000 0.000 0.000
O6 0.834 0.166 0.750
Tl2 0.500 0.500 0.262
O7 0.295 0.294 0.000
O8 0.705 0.706 0.000
```

Material: TmNpMn2O8
Method: DFT, GGA+U
State: optimized geometry

Electronic total energy (Ry per atom): -0.61012

```
data_TmNpMn2O8
_cell_length_a 4.784
_cell_length_b 4.784
_cell_length_c 6.780
_cell_angle_alpha 93.99
_cell_angle_beta 93.99
_cell_angle_gamma 87.74
_space_group_name_H-M_alt 'P 1'
_space_group_IT_number 1
_space_group_name_Hall 'P 1'
loop_
_atom_site_label
_atom_site_fract_x
_atom_site_fract_y
_atom_site_fract_z
Np1 0.000 0.000 0.000
O1 0.290 0.290 0.034
Mn1 0.485 0.485 0.272
O2 0.801 0.200 0.233
O3 0.710 0.710 0.966
O4 0.319 0.319 0.516
O5 0.681 0.681 0.484
O6 0.800 0.199 0.767
O7 0.200 0.801 0.233
Tm1 0.000 0.000 0.500
O8 0.199 0.800 0.767
Mn2 0.515 0.515 0.728
```

Question: What is the formula in the eighth record?
Answer: NpMn2Tl2O6